# 1
This record from the Alexandria database describes a relaxed structure of PmBe2Si2. The functional is GGA-PBE.

Cell lengths 5.5581, 5.5950, 6.2612 Å; angles 63.74, 78.63, 63.34 degrees
With the nearest neighbours (Å) after each atom.
Space group P-1 (No. 2)
Symmetry-distinct sites (fractional):
1 Pm 0.2501 0.1181 0.2615  6 Be 2.96-3.26, 6 Si 3.01-3.27
2 Be 0.2489 0.7320 0.0360  1 Be 2.23, 4 Si 2.28-2.29
3 Be 0.2500 0.5333 0.4331  1 Be 2.23, 4 Si 2.25-2.26
4 Si 0.1488 0.2008 0.7595  4 Be 2.25-2.29
5 Si 0.3523 0.5382 0.7602  4 Be 2.25-2.29

Formation energy without anion corrections (eV/atom): -0.294
ΔE to the lowest computed polymorph (eV per atom): 0.064
Final energy (Ha/atom): -0.1802


# 2
This record from the Alexandria database describes a relaxed structure of Pm3Be2Si4. The functional is GGA-PBE.

Cell lengths 10.8982, 3.9890, 8.3135 Å; angles 90.00, 109.55, 90.00 degrees
With the nearest neighbours (Å) after each atom.
Space group C2/m (No. 12)
Symmetry-distinct sites (fractional):
1 Pm 0.0000 0.0000 0.0000  8 Si 3.05-3.23, 4 Be 3.38
2 Pm 0.1166 0.5000 0.6854  8 Si 2.96-3.18, 3 Be 3.00-3.21, 1 Pm 3.27
3 Be 0.1798 0.5000 0.3210  3 Si 2.26-2.34
4 Si 0.1211 0.0000 0.4017  2 Be 2.26
5 Si 0.2231 0.5000 0.0632  1 Be 2.34, 2 Si 2.42

Formation energy without anion corrections (eV/atom): -0.556
ΔE to the lowest computed polymorph (eV per atom): 0.151
Final energy (Ha/atom): -0.1976


What is the final energy in the second record? -0.1976 Ha/atom


What is the formula in the second record? Pm3Be2Si4


Which of these has the highest final energy? PmBe2Si2


Look up the final energy of the first one. -0.1802 Ha/atom